Entry i
First-principles (PBEsol) data for ScAg2Ir after structural relaxation, as listed in Alexandria via LeMat-Bulk.

abc: 4.545 4.545 4.545
angles: 60.00 60.00 60.00
Sites, in units of the cell vectors:
Ir 0.000 0.000 0.000
Ag 0.750 0.750 0.750
Ag 0.250 0.250 0.250
Sc 0.500 0.500 0.500

Summary:
* symmetry: Fm-3m
* Fermi-level density of states: 0.58 states/eV/atom

=====

Entry ii
First-principles (PBEsol) data for ScAg2Ir after structural relaxation, as listed in Alexandria via LeMat-Bulk.

abc: 2.942 4.640 4.931
angles: 90.00 90.00 94.34
Sites, in units of the cell vectors:
Ir 0.000 0.500 0.500
Sc 0.500 0.000 0.500
Ag 0.232 0.256 0.000
Ag 0.768 0.744 0.000

Summary:
* symmetry: P2/m
* Fermi-level density of states: 0.57 states/eV/atom

=====

Least stable = entry i

=====

Entry i
First-principles (PBEsol) data for TcAgIr2 after structural relaxation, as listed in Alexandria via LeMat-Bulk.

abc: 2.723 4.745 4.759
angles: 99.44 106.63 90.00
Sites, in units of the cell vectors:
Ag 0.252 0.757 0.504
Ir 0.008 0.001 0.016
Ir 0.748 0.263 0.497
Tc 0.492 0.479 0.984

Summary:
* symmetry: Cm
* Fermi-level density of states: 1.16 states/eV/atom

=====

Entry ii
First-principles (PBEsol) data for TcAgIr2 after structural relaxation, as listed in Alexandria via LeMat-Bulk.

abc: 3.817 3.900 3.900
angles: 90.00 90.00 90.00
Each line ends with the local moment (μB).
Sites, in units of the cell vectors:
Ir 0.000 0.000 0.500  0.04
Ir 0.000 0.500 0.000  0.04
Tc 0.500 0.500 0.500  0.18
Ag 0.500 0.000 0.000  0.01

Summary:
* symmetry: P4/mmm
* Fermi-level density of states: 1.43 states/eV/atom

=====

Least stable = entry ii

=====

Entry i
First-principles (PBEsol) data for AgTe2Ir after structural relaxation, as listed in Alexandria via LeMat-Bulk.

abc: 3.017 3.017 10.981
angles: 82.10 82.10 60.00
Sites, in units of the cell vectors:
Te 0.079 0.079 0.764
Te 0.921 0.921 0.236
Ag 0.500 0.500 0.500
Ir 0.000 0.000 0.000

Summary:
* symmetry: R-3m
* Fermi-level density of states: 0.53 states/eV/atom

=====

Entry ii
First-principles (PBEsol) data for AgTe2Ir after structural relaxation, as listed in Alexandria via LeMat-Bulk.

abc: 3.985 3.985 8.187
angles: 75.91 75.91 60.00
Sites, in units of the cell vectors:
Ag 0.000 0.000 0.000
Te 0.112 0.112 0.665
Te 0.888 0.888 0.335
Ir 0.500 0.500 0.500

Summary:
* symmetry: R-3m
* Fermi-level density of states: 0.07 states/eV/atom

=====

Entry iii
First-principles (PBEsol) data for AgTe2Ir after structural relaxation, as listed in Alexandria via LeMat-Bulk.

abc: 4.864 4.864 4.864
angles: 60.00 60.00 60.00
Sites, in units of the cell vectors:
Ir 0.750 0.750 0.750
Te 0.000 0.000 0.000
Te 0.250 0.250 0.250
Ag 0.500 0.500 0.500

Summary:
* symmetry: F-43m
* Fermi-level density of states: 0.72 states/eV/atom

=====

Least stable = entry iii

=====

Entry i
First-principles (PBEsol) data for TlAgIr2 after structural relaxation, as listed in Alexandria via LeMat-Bulk.

abc: 2.787 3.647 7.249
angles: 90.00 101.17 90.00
Sites, in units of the cell vectors:
Ir 0.078 0.000 0.031
Ir 0.657 0.500 0.186
Ag 0.453 0.500 0.783
Tl 0.811 0.000 0.501

Summary:
* symmetry: Pm
* Fermi-level density of states: 0.84 states/eV/atom

=====

Entry ii
First-principles (PBEsol) data for TlAgIr2 after structural relaxation, as listed in Alexandria via LeMat-Bulk.

abc: 4.055 4.055 4.889
angles: 114.50 114.50 90.00
Sites, in units of the cell vectors:
Ir 0.250 0.750 0.500
Ir 0.750 0.250 0.500
Tl 0.500 0.500 0.000
Ag 0.000 0.000 0.000

Summary:
* symmetry: I4/mmm
* Fermi-level density of states: 1.42 states/eV/atom

=====

Least stable = entry ii

=====

Entry i
First-principles (PBEsol) data for TlAgIr after structural relaxation, as listed in Alexandria via LeMat-Bulk.

abc: 3.010 4.028 4.978
angles: 113.86 107.60 90.00
Sites, in units of the cell vectors:
Ag 0.995 0.995 0.991
Ir 0.333 0.333 0.667
Tl 0.671 0.671 0.343

Summary:
* symmetry: Imm2
* Fermi-level density of states: 0.73 states/eV/atom

=====

Entry ii
First-principles (PBEsol) data for TlAgIr after structural relaxation, as listed in Alexandria via LeMat-Bulk.

abc: 2.936 2.936 7.247
angles: 96.09 96.09 118.46
Sites, in units of the cell vectors:
Ir 0.334 0.334 0.669
Ag 0.994 0.994 0.989
Tl 0.671 0.671 0.342

Summary:
* symmetry: Fmm2
* Fermi-level density of states: 0.45 states/eV/atom

=====

Least stable = entry ii

=====

Entry i
First-principles (PBEsol) data for AgIrW after structural relaxation, as listed in Alexandria via LeMat-Bulk.

abc: 2.789 3.896 4.808
angles: 113.90 106.86 90.00
Sites, in units of the cell vectors:
W 0.325 0.325 0.651
Ir 0.674 0.674 0.349
Ag 0.000 0.000 0.000

Summary:
* symmetry: Imm2
* Fermi-level density of states: 0.58 states/eV/atom

=====

Entry ii
First-principles (PBEsol) data for AgIrW after structural relaxation, as listed in Alexandria via LeMat-Bulk.

abc: 4.246 4.246 4.246
angles: 60.00 60.00 60.00
Sites, in units of the cell vectors:
Ir 0.500 0.500 0.500
Ag 0.000 0.000 0.000
W 0.750 0.750 0.750

Summary:
* symmetry: F-43m
* Fermi-level density of states: 0.95 states/eV/atom

=====

Least stable = entry ii

=====

Entry i
First-principles (PBEsol) data for K4Ag after structural relaxation, as listed in Alexandria via LeMat-Bulk.

abc: 7.052 7.052 7.052
angles: 109.47 109.47 109.47
Sites, in units of the cell vectors:
K 0.500 0.500 0.500
K 0.000 0.500 0.000
K 0.000 0.000 0.500
K 0.500 0.000 0.000
Ag 0.000 0.000 0.000

Summary:
* symmetry: Im-3m
* Fermi-level density of states: 0.53 states/eV/atom

=====

Entry ii
First-principles (PBEsol) data for K4Ag after structural relaxation, as listed in Alexandria via LeMat-Bulk.

abc: 4.317 8.041 8.041
angles: 85.87 74.43 74.43
Sites, in units of the cell vectors:
K 0.559 0.190 0.693
K 0.441 0.810 0.307
K 0.749 0.693 0.810
K 0.251 0.307 0.190
Ag 0.000 0.000 0.000

Summary:
* symmetry: I4/m
* Fermi-level density of states: 0.67 states/eV/atom

=====

Least stable = entry i